Entry 1:
KLi2Zr, relaxed, DFT PBE-GGA; space-group type = Fm-3m (225); ΔH_f (0 K) = 0.83 eV per atom; polymorph energy (0 for the lowest one) = 0.419 eV per atom; total DFT energy (no corrections) = -2.542 eV per atom; magnetization = 0.00 μB per formula unit
1.0
3.2012 -3.1718 2.9186
-1.5792 -1.6747 4.8506
-1.3027 -5.1516 0.7687
Li K Zr
2 1 1
Direct
0.7500 0.7500 0.7500 Li
0.2500 0.2500 0.2500 Li
0.0000 0.0000 0.0000 K
0.5000 0.5000 0.5000 Zr

***

Entry 2:
KLi2Zr, relaxed, DFT PBE-GGA; space-group type = I-4m2 (119); ΔH_f (0 K) = 0.81 eV per atom; polymorph energy (0 for the lowest one) = 0.398 eV per atom; total DFT energy (no corrections) = -2.563 eV per atom; magnetization = 2.21 μB per formula unit
1.0
-4.2550 4.9322 0.2055
-3.4385 1.9349 -5.1871
1.5781 -5.4224 3.2528
K Li Zr
1 2 1
Direct
0.7500 0.2500 0.5000 K
0.0000 0.0000 0.0000 Li
0.2500 0.7500 0.5000 Li
0.5000 0.5000 0.0000 Zr

***

Entry 3:
K2LiZr, relaxed, DFT PBE-GGA; space-group type = P2/m (10); ΔH_f (0 K) = 0.77 eV per atom; polymorph energy (0 for the lowest one) = 0.190 eV per atom; total DFT energy (no corrections) = -2.391 eV per atom; magnetization = 0.25 μB per formula unit
1.0
6.4777 0.0000 0.0000
0.0000 3.1334 0.0156
0.0000 0.4397 6.8912
Zr K Li
1 2 1
Direct
0.5000 0.7500 0.7500 Zr
0.0000 0.4420 0.4993 K
0.0000 0.0580 0.0007 K
0.5000 0.2500 0.2500 Li

***

Entry 4:
K2LiZr, relaxed, DFT PBE-GGA; space-group type = Imm2 (44); ΔH_f (0 K) = 0.75 eV per atom; polymorph energy (0 for the lowest one) = 0.168 eV per atom; total DFT energy (no corrections) = -2.412 eV per atom; magnetization = 0.64 μB per formula unit
1.0
-3.5484 -0.1445 6.9763
-4.3302 -6.0811 2.3558
6.5255 3.8326 -2.0024
K Zr Li
2 1 1
Direct
0.7249 0.2249 0.5000 K
0.0107 0.0107 0.0000 K
0.2888 0.7888 0.5000 Zr
0.4756 0.4756 0.0000 Li

***

Entry 5:
KLi2Zr2, relaxed, DFT PBE-GGA; space-group type = P4/mbm (127); ΔH_f (0 K) = 0.59 eV per atom; polymorph energy (0 for the lowest one) = 0.000 eV per atom; total DFT energy (no corrections) = -3.818 eV per atom; magnetization = 0.00 μB per formula unit
1.0
9.5189 0.0000 0.0000
0.0000 9.5189 0.0000
0.0000 0.0000 2.9009
Li K Zr
4 2 4
Direct
0.1786 0.6786 0.5000 Li
0.8214 0.3214 0.5000 Li
0.6786 0.8214 0.5000 Li
0.3214 0.1786 0.5000 Li
0.5000 0.5000 0.0000 K
0.0000 0.0000 0.0000 K
0.6105 0.1105 0.0000 Zr
0.3895 0.8895 0.0000 Zr
0.8895 0.6105 0.0000 Zr
0.1105 0.3895 0.0000 Zr

***

Entry 6:
K2LiZr, relaxed, DFT PBE-GGA; space-group type = Fm-3m (225); ΔH_f (0 K) = 1.05 eV per atom; polymorph energy (0 for the lowest one) = 0.466 eV per atom; total DFT energy (no corrections) = -2.115 eV per atom; magnetization = 3.53 μB per formula unit
1.0
-0.9849 0.2503 6.1045
-5.3868 2.1272 2.1805
-4.0191 -3.8901 2.6479
K Li Zr
2 1 1
Direct
0.2500 0.2500 0.2500 K
0.7500 0.7500 0.7500 K
0.0000 0.0000 0.0000 Li
0.5000 0.5000 0.5000 Zr

***

Entry 7:
KLi2Zr, relaxed, DFT PBE-GGA; space-group type = Cmm2 (35); ΔH_f (0 K) = 0.42 eV per atom; polymorph energy (0 for the lowest one) = 0.016 eV per atom; total DFT energy (no corrections) = -2.945 eV per atom; magnetization = 0.00 μB per formula unit
1.0
3.1655 0.0173 0.0000
-1.3154 2.8793 0.0000
0.0000 0.0000 11.5746
Zr Li K
1 2 1
Direct
0.0000 0.0000 0.4618 Zr
0.5000 0.5000 0.2449 Li
0.0000 0.0000 0.0385 Li
0.5000 0.5000 0.7548 K

***

Entry 8:
KLi2Zr, relaxed, DFT PBE-GGA; space-group type = Cmmm (65); ΔH_f (0 K) = 0.53 eV per atom; polymorph energy (0 for the lowest one) = 0.123 eV per atom; total DFT energy (no corrections) = -2.838 eV per atom; magnetization = 0.00 μB per formula unit
1.0
-5.7423 0.4988 -1.3701
-0.6042 -5.8648 0.5821
-0.6610 0.3559 2.8997
Li Zr K
2 1 1
Direct
0.0000 0.0000 0.0000 Li
0.5000 0.5000 0.0000 Li
0.5000 0.0000 0.5000 Zr
0.0000 0.5000 0.5000 K

***

Entry 9:
KLi2Zr, relaxed, DFT PBE-GGA; space-group type = P4mm (99); ΔH_f (0 K) = 0.45 eV per atom; polymorph energy (0 for the lowest one) = 0.044 eV per atom; total DFT energy (no corrections) = -2.916 eV per atom; magnetization = 0.19 μB per formula unit
1.0
-1.1294 2.4227 1.6621
-2.8533 -0.4800 -1.2391
-2.3868 -6.6509 8.0725
K Li Zr
1 2 1
Direct
0.5000 0.5000 0.7572 K
0.5000 0.5000 0.2400 Li
0.0000 0.0000 0.0603 Li
0.0000 0.0000 0.4424 Zr

***

Entry 10:
KLi2Zr, relaxed, DFT PBE-GGA; space-group type = I-42d (122); ΔH_f (0 K) = 0.90 eV per atom; polymorph energy (0 for the lowest one) = 0.491 eV per atom; total DFT energy (no corrections) = -2.470 eV per atom; magnetization = 2.28 μB per formula unit
1.0
8.1275 0.0000 0.0000
0.0000 8.1275 0.0000
4.0638 4.0638 3.4743
Zr Li K
2 4 2
Direct
0.7500 0.2500 0.5000 Zr
0.0000 0.0000 0.0000 Zr
0.6298 0.1250 0.2500 Li
0.8750 0.8798 0.7500 Li
0.3750 0.3702 0.7500 Li
0.1202 0.6250 0.2500 Li
0.5000 0.5000 0.0000 K
0.2500 0.7500 0.5000 K

***

Entry 11:
K2LiZr, relaxed, DFT PBE-GGA; space-group type = Cmm2 (35); ΔH_f (0 K) = 0.59 eV per atom; polymorph energy (0 for the lowest one) = 0.007 eV per atom; total DFT energy (no corrections) = -2.574 eV per atom; magnetization = 1.06 μB per formula unit
1.0
3.4170 0.0088 0.0000
-0.7187 3.3406 0.0000
0.0000 0.0000 12.4853
Zr Li K
1 1 2
Direct
0.5000 0.5000 0.7029 Zr
0.0000 0.0000 0.5363 Li
0.0000 0.0000 0.9633 K
0.5000 0.5000 0.2976 K

***

Entry 12:
KLiZr, relaxed, DFT PBE-GGA; space-group type = P3m1 (156); ΔH_f (0 K) = 0.56 eV per atom; polymorph energy (0 for the lowest one) = 0.000 eV per atom; total DFT energy (no corrections) = -3.295 eV per atom; magnetization = 0.38 μB per formula unit
1.0
3.2684 0.0000 0.0000
-1.6342 2.8305 0.0000
0.0000 0.0000 9.3217
Zr Li K
1 1 1
Direct
0.3333 0.6667 0.6359 Zr
0.6667 0.3333 0.3649 Li
0.0000 0.0000 0.9993 K

***

Entry 13:
KLi2Zr, relaxed, DFT PBE-GGA; space-group type = Pmm2 (25); ΔH_f (0 K) = 0.55 eV per atom; polymorph energy (0 for the lowest one) = 0.147 eV per atom; total DFT energy (no corrections) = -2.814 eV per atom; magnetization = 0.00 μB per formula unit
1.0
-2.7447 -0.9412 -0.1358
1.4590 -4.6163 2.5066
-1.2827 2.8701 6.0325
Li Zr K
2 1 1
Direct
0.0000 0.0000 0.0040 Li
0.5000 0.5000 0.2803 Li
0.0000 0.0000 0.4349 Zr
0.5000 0.5000 0.7808 K

***

Entry 14:
KLi2Zr, relaxed, DFT PBE-GGA; space-group type = R3m (160); ΔH_f (0 K) = 0.43 eV per atom; polymorph energy (0 for the lowest one) = 0.020 eV per atom; total DFT energy (no corrections) = -2.941 eV per atom; magnetization = 0.31 μB per formula unit
1.0
11.5704 -0.0238 -0.0139
11.1169 3.2077 -0.0139
11.1169 1.5601 2.8028
Li K Zr
2 1 1
Direct
0.9852 0.9852 0.9852 Li
0.2524 0.2524 0.2524 Li
0.7484 0.7484 0.7484 K
0.5141 0.5141 0.5141 Zr

***

Entry 15:
KLi4Zr, relaxed, DFT PBE-GGA; space-group type = F-43m (216); ΔH_f (0 K) = 0.50 eV per atom; total DFT energy (no corrections) = -2.384 eV per atom; magnetization = 2.79 μB per formula unit
1.0
0.0000 4.2474 4.2474
4.2474 0.0000 4.2474
4.2474 4.2474 0.0000
Li Zr K
4 1 1
Direct
0.3785 0.3785 0.8644 Li
0.3785 0.8644 0.3785 Li
0.3785 0.3785 0.3785 Li
0.8644 0.3785 0.3785 Li
0.7500 0.7500 0.7500 Zr
0.0000 0.0000 0.0000 K

***

Entry 16:
KLiZr3, relaxed, DFT PBE-GGA; space-group type = Pm-3m (221); ΔH_f (0 K) = 1.95 eV per atom; polymorph energy (0 for the lowest one) = 0.810 eV per atom; total DFT energy (no corrections) = -3.784 eV per atom; magnetization = 1.28 μB per formula unit
1.0
-2.1536 4.3039 -1.5470
1.4389 -0.9855 -4.7448
-4.3412 -2.4617 -0.8052
Zr Li K
3 1 1
Direct
0.5000 0.0000 0.0000 Zr
0.0000 0.0000 0.5000 Zr
0.0000 0.5000 0.0000 Zr
0.5000 0.5000 0.5000 Li
0.0000 0.0000 0.0000 K

***

Entry 17:
K2LiZr, relaxed, DFT PBE-GGA; space-group type = P4/mmm (123); ΔH_f (0 K) = 0.94 eV per atom; polymorph energy (0 for the lowest one) = 0.352 eV per atom; total DFT energy (no corrections) = -2.228 eV per atom; magnetization = 3.23 μB per formula unit
1.0
-2.4790 5.6744 1.0992
-2.0208 -0.0258 -4.4244
-3.9874 -2.0972 1.8335
K Zr Li
2 1 1
Direct
0.0000 0.0000 0.0000 K
0.0000 0.5000 0.5000 K
0.5000 0.0000 0.5000 Zr
0.5000 0.5000 0.0000 Li

***

Entry 18:
KLi2Zr, relaxed, DFT PBE-GGA; space-group type = C2/m (12); ΔH_f (0 K) = 0.51 eV per atom; polymorph energy (0 for the lowest one) = 0.108 eV per atom; total DFT energy (no corrections) = -2.853 eV per atom; magnetization = 0.00 μB per formula unit
1.0
-1.8811 -4.7755 1.4779
-0.5148 -5.2129 -1.0432
6.5199 -1.7162 3.8313
Li K Zr
2 1 1
Direct
0.0072 0.0072 0.9241 Li
0.4928 0.4928 0.5759 Li
0.2500 0.2500 0.2500 K
0.7500 0.7500 0.7500 Zr

***

Entry 19:
KLi2Zr, relaxed, DFT PBE-GGA; space-group type = R-3m (166); ΔH_f (0 K) = 0.41 eV per atom; polymorph energy (0 for the lowest one) = 0.000 eV per atom; total DFT energy (no corrections) = -2.961 eV per atom; magnetization = 0.02 μB per formula unit
1.0
11.7486 -0.0052 -0.0030
11.2846 3.2692 -0.0030
11.2846 1.5991 2.8513
Li K Zr
2 1 1
Direct
0.5117 0.5117 0.5117 Li
0.9883 0.9883 0.9883 Li
0.7500 0.7500 0.7500 K
0.2500 0.2500 0.2500 Zr

***

Entry 20:
K2LiZr, relaxed, DFT PBE-GGA; space-group type = I4/mmm (139); ΔH_f (0 K) = 0.94 eV per atom; polymorph energy (0 for the lowest one) = 0.353 eV per atom; total DFT energy (no corrections) = -2.227 eV per atom; magnetization = 2.99 μB per formula unit
1.0
-3.4392 -4.6313 -4.2201
2.8895 -2.5684 -6.0117
1.6326 0.9752 6.8899
K Zr Li
2 1 1
Direct
0.5000 0.5000 0.0000 K
0.0000 0.0000 0.0000 K
0.7500 0.2500 0.5000 Zr
0.2500 0.7500 0.5000 Li

***

Entry 21:
K2LiZr, relaxed, DFT PBE-GGA; space-group type = Cm (8); ΔH_f (0 K) = 0.72 eV per atom; polymorph energy (0 for the lowest one) = 0.132 eV per atom; total DFT energy (no corrections) = -2.448 eV per atom; magnetization = 0.48 μB per formula unit
1.0
-2.6637 -4.1932 -1.6937
-0.7071 -3.3589 -3.9705
6.8451 -6.2057 3.6084
Zr K Li
1 2 1
Direct
0.7581 0.7581 0.6828 Zr
0.2441 0.2441 0.3156 K
0.0046 0.0046 0.9424 K
0.4932 0.4932 0.5592 Li

***

Entry 22:
K2LiZr, relaxed, DFT PBE-GGA; space-group type = R-3m (166); ΔH_f (0 K) = 0.65 eV per atom; polymorph energy (0 for the lowest one) = 0.064 eV per atom; total DFT energy (no corrections) = -2.517 eV per atom; magnetization = 1.55 μB per formula unit
1.0
13.5242 -0.0167 -0.0098
13.0904 3.3981 -0.0098
13.0904 1.6631 2.9633
K Li Zr
2 1 1
Direct
0.4999 0.4999 0.4999 K
0.0001 0.0001 0.0001 K
0.7500 0.7500 0.7500 Li
0.2500 0.2500 0.2500 Zr

***

Entry 23:
KNd2Lu, relaxed, DFT PBE-GGA; space-group type = R-3m (166); ΔH_f (0 K) = 0.20 eV per atom; total DFT energy (no corrections) = -3.591 eV per atom; magnetization = 0.00 μB per formula unit
1.0
-1.9102 -0.4525 3.0585
-1.3439 -3.2716 0.8358
10.1773 -4.1816 7.8970
K Nd Lu
1 2 1
Direct
0.0000 0.0000 0.0000 K
0.0967 0.0967 0.7100 Nd
0.9033 0.9033 0.2900 Nd
0.5000 0.5000 0.5000 Lu

***

Entry 24:
KLuP2O7, relaxed, DFT PBE-GGA; space-group type = P2_1/c (14); total DFT energy (no corrections) = -7.371 eV per atom; magnetization = 0.00 μB per formula unit; energy relative to the elements, uncorrected = -262.6 kJ per mole of atoms
1.0
10.8540 0.0000 0.0000
0.0000 7.6971 0.0191
0.0000 2.5369 8.2714
O P Lu K
28 8 4 4
Direct
0.7278 0.9271 0.2413 O
0.8872 0.6697 0.5165 O
0.4231 0.6271 0.7611 O
0.6128 0.6697 0.0165 O
0.9318 0.6689 0.8034 O
0.5682 0.6689 0.3034 O
0.5011 0.0047 0.7833 O
0.7259 0.5449 0.7400 O
0.9989 0.0047 0.2833 O
0.4046 0.1413 0.5063 O
0.7741 0.5449 0.2400 O
0.5954 0.8587 0.4937 O
0.2278 0.0729 0.2587 O
0.2741 0.4551 0.2600 O
0.4989 0.9953 0.2167 O
0.9046 0.8587 0.9937 O
0.0769 0.6271 0.2611 O
0.2722 0.0729 0.7587 O
0.0011 0.9953 0.7167 O
0.3872 0.3303 0.9835 O
0.0954 0.1413 0.0063 O
0.1128 0.3303 0.4835 O
0.5769 0.3729 0.2389 O
0.7722 0.9271 0.7413 O
0.4318 0.3311 0.6966 O
0.0682 0.3311 0.1966 O
0.9231 0.3729 0.7389 O
0.2259 0.4551 0.7600 O
0.9003 0.8713 0.8159 P
0.1378 0.4398 0.3084 P
0.8622 0.5602 0.6916 P
0.5997 0.8713 0.3159 P
0.4003 0.1287 0.6841 P
0.0997 0.1287 0.1841 P
0.3622 0.4398 0.8084 P
0.6378 0.5602 0.1916 P
0.0994 0.2349 0.7468 Lu
0.4006 0.2349 0.2468 Lu
0.5994 0.7651 0.7532 Lu
0.9006 0.7651 0.2532 Lu
0.6767 0.1765 0.9292 K
0.8233 0.1765 0.4292 K
0.1767 0.8235 0.5708 K
0.3233 0.8235 0.0708 K

***

Calculated calculated density in order - 2.2 2.2 2.1 2.0 3.0 1.7 2.3 2.3 2.3 2.1 2.1 2.6 2.2 2.3 1.7 4.1 2.0 2.1 2.2 2.0 1.9 2.1 5.5 3.7 g cm⁻³